DFT (GGA+U) results for a relaxed Cs2Cr4CuH4O16 crystal.

## Properties
**E_tot**: -5.988 eV per atom

Unit cell a=8.4550 b=7.6390 c=8.4320 alpha=92.31 beta=125.81 gamma=90.19
Positions (direct):
O (0.7810, 0.3742, 0.9714)
O (0.1394, 0.0797, 0.3139)
O (0.6993, 0.0274, 0.8673)
O (0.8534, 0.7110, 0.9365)
O (0.2349, 0.8017, 0.6469)
O (0.2190, 0.6258, 0.0286)
O (0.8469, 0.4194, 0.6452)
O (0.7651, 0.1983, 0.3531)
O (0.4888, 0.2333, 0.4333)
O (0.1531, 0.5806, 0.3548)
O (0.1466, 0.2890, 0.0635)
O (0.4273, 0.5029, 0.7299)
O (0.3007, 0.9726, 0.1327)
O (0.5727, 0.4971, 0.2701)
O (0.8606, 0.9203, 0.6861)
O (0.5112, 0.7667, 0.5667)
Cs (0.2056, 0.1862, 0.7358)
Cs (0.7944, 0.8138, 0.2642)
Cr (0.2628, 0.1393, 0.2335)
Cr (0.3258, 0.6597, 0.5742)
Cr (0.6742, 0.3403, 0.4258)
Cr (0.7372, 0.8607, 0.7665)
H (0.7662, 0.2463, 0.9335)
H (0.6518, 0.4265, 0.8749)
H (0.2338, 0.7537, 0.0665)
H (0.3482, 0.5735, 0.1251)
Cu (0.0000, 0.5000, 0.0000)